No. 1
NpAsP: relaxed, PBE-GGA.

Cell and atoms, written as CIF:
```
data_NpAsP
_chemical_formula_sum 'Np2 As2 P2'
_cell_length_a 8.354
_cell_length_b 8.354
_cell_length_c 8.354
_cell_angle_alpha 153.24
_cell_angle_beta 153.24
_cell_angle_gamma 38.20
_space_group_name_H-M_alt 'P 1'
_space_group_IT_number 1
loop_
_space_group_symop_operation_xyz
'x,y,z'
loop_
_atom_site_label
_atom_site_type_symbol
_atom_site_fract_x
_atom_site_fract_y
_atom_site_fract_z
Np1 Np 0.147 0.147 0.000
Np2 Np 0.853 0.853 0.000
As1 As 0.000 0.500 0.500
As2 As 0.500 0.000 0.500
P1 P 0.319 0.319 0.000
P2 P 0.681 0.681 0.000
```

Computed properties:
As for the volume: 118.0 Å³ per cell. For the total energy, the calculation gives -8.28 eV per atom.



No. 2
PrBeO3: relaxed, PBE-GGA.

Cell and atoms, written as CIF:
```
data_PrBeO3
_chemical_formula_sum 'Pr4 Be4 O12'
_cell_length_a 4.795
_cell_length_b 8.187
_cell_length_c 5.754
_cell_angle_alpha 90.00
_cell_angle_beta 90.00
_cell_angle_gamma 90.00
_space_group_name_H-M_alt 'P 1'
_space_group_IT_number 1
loop_
_space_group_symop_operation_xyz
'x,y,z'
loop_
_atom_site_label
_atom_site_type_symbol
_atom_site_fract_x
_atom_site_fract_y
_atom_site_fract_z
Pr1 Pr 0.000 0.000 0.000
Pr2 Pr 0.000 0.500 0.000
Pr3 Pr 0.500 0.000 0.500
Pr4 Pr 0.500 0.500 0.500
Be1 Be 0.026 0.250 0.421
Be2 Be 0.474 0.750 0.921
Be3 Be 0.526 0.250 0.079
Be4 Be 0.974 0.750 0.579
O1 O 0.023 0.606 0.395
O2 O 0.023 0.894 0.395
O3 O 0.164 0.750 0.813
O4 O 0.336 0.250 0.313
O5 O 0.477 0.106 0.895
O6 O 0.477 0.394 0.895
O7 O 0.523 0.606 0.105
O8 O 0.523 0.894 0.105
O9 O 0.664 0.750 0.687
O10 O 0.836 0.250 0.187
O11 O 0.977 0.106 0.605
O12 O 0.977 0.394 0.605
```

Computed properties:
As for the volume: 225.9 Å³ per cell. For the total energy, the calculation gives -7.22 eV per atom.